CaV2Ni: relaxed, PBE.

Cell: 4.4320 4.4320 4.4320 Å, 60.00 60.00 60.00°
With the nearest neighbours (Å) after each atom.
Element x y z (fractional)
Ca: 0.0000 0.0000 0.0000  8 V 2.71
V: 0.2500 0.2500 0.2500  4 Ni 2.71, 4 Ca 2.71
V: 0.7500 0.7500 0.7500  4 Ni 2.71, 4 Ca 2.71
Ni: 0.5000 0.5000 0.5000  8 V 2.71

## Properties
Crystal system   cubic

***

Ac2AlPd6: relaxed, PBE.

Cell: 6.7957 6.7957 6.7957 Å, 52.60 52.60 52.60°
With the nearest neighbours (Å) after each atom.
Element x y z (fractional)
Ac: 0.2362 0.2362 0.2362  12 Pd 3.06-3.43
Ac: 0.7638 0.7638 0.7638  12 Pd 3.06-3.43
Al: 0.5000 0.5000 0.5000  6 Pd 2.52
Pd: 0.2273 0.2273 0.7427  1 Al 2.52
Pd: 0.2273 0.7427 0.2273  1 Al 2.52
Pd: 0.2573 0.7727 0.7727  1 Al 2.52
Pd: 0.7427 0.2273 0.2273  1 Al 2.52
Pd: 0.7727 0.2573 0.7727  1 Al 2.52
Pd: 0.7727 0.7727 0.2573  1 Al 2.52

## Properties
Crystal system   trigonal

***

Number 1: distance to the lowest polymorph of the same formula 49 meV/atom, DFT formation energy 79.62 kJ/mol of atoms, magnetization 0.865 Bohr magnetons per cell. Number 2: distance to the lowest polymorph of the same formula 0 meV/atom, DFT formation energy -81.89 kJ/mol of atoms, magnetization 0.000 Bohr magnetons per cell.